Record 1
The following is a PBE calculation of a relaxed K2PrSb3Pt4 crystal, from Alexandria via LeMat-Bulk.

Calculated values
**Mass density**: 8.97 g/cm³
**E_form (uncorrected)**: -577 meV/atom
**Crystal system**: tetragonal

abc: 4.7714 4.7714 11.0932
angles: 90.00 90.00 90.00
With the nearest neighbours (Å) after each atom.
Space group P-4m2 (No. 115)
One atom of each set of equivalent atoms:
K: 0.0000 0.5000 0.2317 (multiplicity 2)  8 Pt 3.51-3.64, 7 Sb 3.61-3.86, 2 Pr 3.81
Pr: 0.0000 0.0000 0.5000 (multiplicity 1)  4 Pt 2.88
Sb: 0.0000 0.5000 0.8836 (multiplicity 2)  5 Pt 2.64-2.71
Sb: 0.5000 0.5000 0.5000 (multiplicity 1)  4 Pt 2.88
Pt: 0.0000 0.0000 0.0000 (multiplicity 1)  4 Sb 2.71
Pt: 0.0000 0.5000 0.6454 (multiplicity 2)  3 Sb 2.64-2.88, 2 Pr 2.88
Pt: 0.5000 0.5000 0.0000 (multiplicity 1)  4 Sb 2.71

Record 2
The following is a PBE calculation of a relaxed K2PrPuS4 crystal, from Alexandria via LeMat-Bulk.

Calculated values
**Mass density**: 4.40 g/cm³
**E_form (uncorrected)**: -1701 meV/atom
**Crystal system**: monoclinic

abc: 7.2455 4.1795 7.7515
angles: 90.00 108.22 90.00
With the nearest neighbours (Å) after each atom.
Space group P2/m (No. 10)
One atom of each set of equivalent atoms:
K: 0.0000 0.0000 0.0000 (multiplicity 1)  6 S 3.27-3.28
K: 0.5000 0.5000 0.0000 (multiplicity 1)  6 S 3.22-3.23
Pr: 0.0000 0.5000 0.5000 (multiplicity 1)  6 S 2.88
Pu: 0.5000 0.0000 0.5000 (multiplicity 1)  6 S 2.81-2.83
S: 0.2416 0.0000 0.7081 (multiplicity 2)  1 Pu 2.83, 2 Pr 2.88
S: 0.2738 0.5000 0.2986 (multiplicity 2)  2 Pu 2.81, 1 Pr 2.88

Record 3
The following is a PBE calculation of a relaxed K4Pr3PuS8 crystal, from Alexandria via LeMat-Bulk.

Calculated values
**Mass density**: 3.96 g/cm³
**E_form (uncorrected)**: -1765 meV/atom
**Crystal system**: trigonal

abc: 8.4206 8.4206 22.1366
angles: 90.00 90.00 120.00
With the nearest neighbours (Å) after each atom.
Space group R-3m (No. 166, hexagonal axes)
One atom of each set of equivalent atoms:
K: 0.0000 0.0000 0.0000 (multiplicity 3)  6 S 3.29
K: 0.0000 0.5000 0.0000 (multiplicity 9)  6 S 3.24
Pr: 0.0000 0.5000 0.5000 (multiplicity 9)  6 S 2.88-2.89
Pu: 0.0000 0.0000 0.5000 (multiplicity 3)  6 S 2.83
S: 0.0000 0.0000 0.2367 (multiplicity 6)  3 Pr 2.88
S: 0.0061 0.5030 0.2353 (multiplicity 18)  1 Pu 2.83, 2 Pr 2.89

Record 4
The following is a PBE calculation of a relaxed KPrPu2S4 crystal, from Alexandria via LeMat-Bulk.

Calculated values
**Mass density**: 6.74 g/cm³
**E_form (uncorrected)**: -1720 meV/atom
**Crystal system**: monoclinic

abc: 7.1261 4.0652 7.1541
angles: 90.00 108.85 90.00
With the nearest neighbours (Å) after each atom.
Space group P2/m (No. 10)
One atom of each set of equivalent atoms:
K: 0.0000 0.0000 0.0000 (multiplicity 1)  6 S 3.01-3.05
Pr: 0.5000 0.5000 0.0000 (multiplicity 1)  6 S 2.95
Pu: 0.0000 0.5000 0.5000 (multiplicity 1)  6 S 2.87
Pu: 0.5000 0.0000 0.5000 (multiplicity 1)  6 S 2.77-2.80
S: 0.2521 0.0000 0.7334 (multiplicity 2)  3 Pu 2.80-2.87, 2 Pr 2.95, 1 K 3.01
S: 0.2697 0.5000 0.2762 (multiplicity 2)  3 Pu 2.77-2.87, 1 Pr 2.95, 2 K 3.05